# 1
The following is a DFT calculation (PBE-GGA) of crystalline Pm13In2 at its relaxed geometry.

Lattice parameters (Å, degrees): 9.7965 9.7965 9.7965 54.56 54.56 54.56
With the nearest neighbours (Å) after each atom.
Element x y z (fractional)
Pm 0.0000 0.0000 0.0000  2 In 3.24, 6 Pm 3.39
Pm 0.1007 0.1007 0.4952  2 In 3.22-3.27, 6 Pm 3.43-3.59
Pm 0.1007 0.4952 0.1007  2 In 3.22-3.27, 6 Pm 3.43-3.59
Pm 0.2462 0.2462 0.6162  6 Pm 3.32-3.59
Pm 0.2462 0.6162 0.2462  6 Pm 3.32-3.59
Pm 0.3838 0.7538 0.7538  6 Pm 3.32-3.59
Pm 0.4952 0.1007 0.1007  2 In 3.22-3.27, 6 Pm 3.43-3.59
Pm 0.5048 0.8993 0.8993  2 In 3.22-3.27, 6 Pm 3.43-3.59
Pm 0.6162 0.2462 0.2462  6 Pm 3.32-3.59
Pm 0.7538 0.3838 0.7538  6 Pm 3.32-3.59
Pm 0.7538 0.7538 0.3838  6 Pm 3.32-3.59
Pm 0.8993 0.5048 0.8993  2 In 3.22-3.27, 6 Pm 3.43-3.59
Pm 0.8993 0.8993 0.5048  2 In 3.22-3.27, 6 Pm 3.43-3.59
In 0.1299 0.1299 0.1299  7 Pm 3.22-3.27
In 0.8701 0.8701 0.8701  7 Pm 3.22-3.27

Results
**SG**: R-3m
**M_tot**: 0.00 μB/atom
**Polymorph energy (0 for the lowest one)**: 6.03 eV per formula unit
**DOS(E_F)**: 23.7 states/eV/f.u.
**Crystal system**: trigonal

# 2
The following is a DFT calculation (PBE-GGA) of crystalline PmIn5 at its relaxed geometry.

Lattice parameters (Å, degrees): 7.3710 7.3710 4.7671 90.00 90.00 142.58
With the nearest neighbours (Å) after each atom.
Element x y z (fractional)
Pm 0.0000 0.0000 0.0000  12 In 3.35-3.36
In 0.1691 0.8309 0.5000  10 In 3.27-3.36, 2 Pm 3.36
In 0.3296 0.6704 0.0000  10 In 3.25-3.37, 2 Pm 3.35
In 0.5000 0.5000 0.5000  8 In 3.34-3.37, 4 Pm 3.36
In 0.6704 0.3296 0.0000  10 In 3.25-3.37, 2 Pm 3.35
In 0.8309 0.1691 0.5000  10 In 3.27-3.36, 2 Pm 3.36

Results
**SG**: Cmmm
**M_tot**: 0.00 μB/atom
**Polymorph energy (0 for the lowest one)**: 0.00 eV per formula unit
**DOS(E_F)**: 3.2 states/eV/f.u.
**Crystal system**: orthorhombic

# 3
The following is a DFT calculation (PBE-GGA) of crystalline Pm5In6 at its relaxed geometry.

Lattice parameters (Å, degrees): 9.2435 9.2435 9.2435 146.27 131.81 60.11
With the nearest neighbours (Å) after each atom.
Element x y z (fractional)
Pm 0.0000 0.0000 0.0000  8 In 3.21-3.49
Pm 0.1577 0.6577 0.5000  8 In 3.37-3.47, 4 Pm 3.68-3.71
Pm 0.3175 0.3175 0.0000  8 In 3.20-3.37
Pm 0.6825 0.6825 0.0000  8 In 3.20-3.37
Pm 0.8423 0.3423 0.5000  8 In 3.37-3.47, 4 Pm 3.68-3.71
In 0.1254 0.8477 0.2777  7 Pm 3.20-3.47, 1 In 3.36
In 0.2953 0.5000 0.7953  1 In 3.09, 4 Pm 3.30-3.37
In 0.4300 0.1523 0.2777  7 Pm 3.20-3.47, 1 In 3.36
In 0.5700 0.8477 0.7223  7 Pm 3.20-3.47, 1 In 3.36
In 0.7047 0.5000 0.2047  1 In 3.09, 4 Pm 3.30-3.37
In 0.8746 0.1523 0.7223  7 Pm 3.20-3.47, 1 In 3.36

Results
**SG**: Immm
**M_tot**: 0.00 μB/atom
**DOS(E_F)**: 10.0 states/eV/f.u.
**Crystal system**: orthorhombic

# 4
The following is a DFT calculation (PBE-GGA) of crystalline Pm7In5 at its relaxed geometry.

Lattice parameters (Å, degrees): 5.4084 5.4084 14.9888 100.41 100.41 59.89
With the nearest neighbours (Å) after each atom.
Element x y z (fractional)
Pm 0.0000 0.0000 0.0000  6 In 3.27
Pm 0.1931 0.1931 0.5780  6 In 3.32-3.71, 3 Pm 3.70-3.71
Pm 0.2805 0.2805 0.8383  7 In 3.36-3.61, 3 Pm 3.61
Pm 0.4276 0.4276 0.2857  5 In 3.12-3.20
Pm 0.5724 0.5724 0.7143  5 In 3.12-3.20
Pm 0.7195 0.7195 0.1617  7 In 3.36-3.61, 3 Pm 3.61
Pm 0.8069 0.8069 0.4220  6 In 3.32-3.71, 3 Pm 3.70-3.71
In 0.0943 0.0943 0.2850  3 Pm 3.12
In 0.3552 0.3552 0.0672  8 Pm 3.20-3.42
In 0.5000 0.5000 0.5000  8 Pm 3.14-3.32
In 0.6448 0.6448 0.9328  8 Pm 3.20-3.42
In 0.9057 0.9057 0.7150  3 Pm 3.12

Results
**SG**: C2/m
**M_tot**: 0.00 μB/atom
**DOS(E_F)**: 14.8 states/eV/f.u.
**Crystal system**: monoclinic

# 5
The following is a DFT calculation (PBE-GGA) of crystalline PmIn4 at its relaxed geometry.

Lattice parameters (Å, degrees): 8.9743 8.9743 8.9743 148.61 135.59 55.39
With the nearest neighbours (Å) after each atom.
Element x y z (fractional)
Pm 0.3517 0.1017 0.2500  13 In 3.32-3.65
Pm 0.6483 0.8983 0.7500  13 In 3.32-3.65
In 0.0000 0.5000 0.5000  8 In 3.13-3.42, 4 Pm 3.37
In 0.1429 0.8929 0.2500  10 In 3.25-3.51, 3 Pm 3.32-3.39
In 0.1868 0.6971 0.4896  6 In 2.95-3.25
In 0.2925 0.3029 0.9896  6 In 2.95-3.25
In 0.5000 0.5000 0.0000  8 In 3.13-3.42, 4 Pm 3.37
In 0.7075 0.6971 0.0104  6 In 2.95-3.25
In 0.8132 0.3029 0.5104  6 In 2.95-3.25
In 0.8571 0.1071 0.7500  10 In 3.25-3.51, 3 Pm 3.32-3.39

Results
**SG**: Imma
**M_tot**: 0.00 μB/atom
**Polymorph energy (0 for the lowest one)**: 0.00 eV per formula unit
**DOS(E_F)**: 2.1 states/eV/f.u.
**Crystal system**: orthorhombic

# 6
The following is a DFT calculation (PBE-GGA) of crystalline Pm3In4 at its relaxed geometry.

Lattice parameters (Å, degrees): 6.3141 6.3141 15.4367 90.00 90.00 138.56
With the nearest neighbours (Å) after each atom.
Element x y z (fractional)
Pm 0.0100 0.9900 0.7500  5 In 3.13-3.32
Pm 0.3043 0.6957 0.5984  8 In 3.31-3.56
Pm 0.3043 0.6957 0.9016  8 In 3.31-3.56
Pm 0.6957 0.3043 0.0984  8 In 3.31-3.56
Pm 0.6957 0.3043 0.4016  8 In 3.31-3.56
Pm 0.9900 0.0100 0.2500  5 In 3.13-3.32
In 0.0000 0.0000 0.0000  4 In 2.95
In 0.0000 0.0000 0.5000  4 In 2.95
In 0.2553 0.7447 0.2500  2 In 2.91, 1 Pm 3.13
In 0.4097 0.5903 0.1034  3 In 2.91-2.95
In 0.4097 0.5903 0.3966  3 In 2.91-2.95
In 0.5903 0.4097 0.6034  3 In 2.91-2.95
In 0.5903 0.4097 0.8966  3 In 2.91-2.95
In 0.7447 0.2553 0.7500  2 In 2.91, 1 Pm 3.13

Results
**SG**: Cmcm
**M_tot**: 0.00 μB/atom
**Polymorph energy (0 for the lowest one)**: 0.00 eV per formula unit
**DOS(E_F)**: 6.0 states/eV/f.u.
**Crystal system**: orthorhombic

# 7
The following is a DFT calculation (PBE-GGA) of crystalline Pm13In2 at its relaxed geometry.

Lattice parameters (Å, degrees): 6.9557 8.7213 9.1167 66.46 78.64 82.80
With the nearest neighbours (Å) after each atom.
Element x y z (fractional)
Pm 0.0000 0.0000 0.0000  2 In 3.33, 6 Pm 3.40-3.67
Pm 0.1230 0.4766 0.7356  2 In 3.25-3.30, 5 Pm 3.46-3.61
Pm 0.1979 0.2288 0.1551  8 Pm 3.40-3.67
Pm 0.2611 0.9350 0.5866  2 In 3.23-3.33, 2 Pm 3.45-3.50
Pm 0.3088 0.6539 0.9728  11 Pm 3.45-3.86
Pm 0.3616 0.4144 0.3918  2 In 3.41-3.52, 9 Pm 3.46-3.79
Pm 0.4934 0.1409 0.7953  1 In 3.24, 3 Pm 3.56-3.59
Pm 0.5066 0.8591 0.2047  1 In 3.24, 3 Pm 3.56-3.59
Pm 0.6384 0.5856 0.6082  2 In 3.41-3.52, 9 Pm 3.46-3.79
Pm 0.6912 0.3461 0.0272  11 Pm 3.45-3.86
Pm 0.7389 0.0650 0.4134  2 In 3.23-3.33, 2 Pm 3.45-3.50
Pm 0.8021 0.7712 0.8449  8 Pm 3.40-3.67
Pm 0.8770 0.5234 0.2644  2 In 3.25-3.30, 5 Pm 3.46-3.61
In 0.0589 0.7728 0.3826  8 Pm 3.23-3.52
In 0.9411 0.2272 0.6174  8 Pm 3.23-3.52

Results
**SG**: P-1
**M_tot**: 0.00 μB/atom
**Polymorph energy (0 for the lowest one)**: 0.00 eV per formula unit
**DOS(E_F)**: 21.0 states/eV/f.u.
**Crystal system**: triclinic

# 8
The following is a DFT calculation (PBE-GGA) of crystalline Pm7In3 at its relaxed geometry.

Lattice parameters (Å, degrees): 9.1800 9.1800 6.9367 107.52 107.52 33.63
With the nearest neighbours (Å) after each atom.
Element x y z (fractional)
Pm 0.0000 0.0000 0.0000  4 In 3.26-3.47
Pm 0.1966 0.1966 0.6832  5 In 3.22-3.60, 5 Pm 3.46-3.55
Pm 0.3715 0.3715 0.0973  3 In 3.34-3.40, 7 Pm 3.46-3.68
Pm 0.4057 0.4057 0.6330  4 In 3.41-3.57, 8 Pm 3.46-3.80
Pm 0.5943 0.5943 0.3670  4 In 3.41-3.57, 8 Pm 3.46-3.80
Pm 0.6285 0.6285 0.9027  3 In 3.34-3.40, 7 Pm 3.46-3.68
Pm 0.8034 0.8034 0.3168  5 In 3.22-3.60, 5 Pm 3.46-3.55
In 0.0000 0.0000 0.5000  8 Pm 3.29-3.47
In 0.1947 0.1947 0.2006  10 Pm 3.22-3.60
In 0.8053 0.8053 0.7994  10 Pm 3.22-3.60

Results
**SG**: C2/m
**M_tot**: 0.00 μB/atom
**DOS(E_F)**: 11.6 states/eV/f.u.
**Crystal system**: monoclinic

# 9
The following is a DFT calculation (PBE-GGA) of crystalline Pm4In at its relaxed geometry.

Lattice parameters (Å, degrees): 12.3302 12.3302 12.3302 162.91 162.91 24.26
With the nearest neighbours (Å) after each atom.
Element x y z (fractional)
Pm 0.0881 0.0881 0.0000  4 In 3.35, 8 Pm 3.66-3.67
Pm 0.3040 0.3040 0.0000  12 Pm 3.66-3.67
Pm 0.6960 0.6960 0.0000  12 Pm 3.66-3.67
Pm 0.9119 0.9119 0.0000  4 In 3.35, 8 Pm 3.66-3.67
In 0.5000 0.5000 0.0000  8 Pm 3.35, 4 In 3.66

Results
**SG**: I4/mmm
**M_tot**: 0.00 μB/atom
**Polymorph energy (0 for the lowest one)**: 0.00 eV per formula unit
**DOS(E_F)**: 6.2 states/eV/f.u.
**Crystal system**: tetragonal

# 10
The following is a DFT calculation (PBE-GGA) of crystalline PmIn4 at its relaxed geometry.

Lattice parameters (Å, degrees): 5.9799 5.9799 5.9799 90.00 90.00 90.00
With the nearest neighbours (Å) after each atom.
Element x y z (fractional)
Pm 0.0000 0.0000 0.0000  6 In 2.99
In 0.0000 0.0000 0.5000  2 Pm 2.99
In 0.0000 0.5000 0.0000  2 Pm 2.99
In 0.5000 0.0000 0.0000  2 Pm 2.99
In 0.5000 0.5000 0.5000  12 In 4.23

Results
**SG**: Pm-3m
**M_tot**: 0.00 μB/atom
**Polymorph energy (0 for the lowest one)**: 4.35 eV per formula unit
**DOS(E_F)**: 4.6 states/eV/f.u.
**Crystal system**: cubic

Looking at uncorrected energy for the records above, in order, we have -4.18; -3.31; -4.04; -4.25; -3.45; -4.02; -4.58; -4.46; -4.52; -2.58 eV per atom.